(1)
The following is a DFT calculation (PBE-GGA) of an optimized crystal structure of CoAgSb2Te.

Unit cell a=4.781 b=4.781 c=5.589 alpha=90.00 beta=90.00 gamma=90.00
Sites, in units of the cell vectors:
1 Te 0.000 0.000 0.500
2 Sb 0.500 0.000 0.000
3 Sb 0.000 0.500 0.000
4 Co 0.000 0.000 0.000
5 Ag 0.500 0.500 0.500

## Properties
Space group: P4/mmm, No. 123
E_form (uncorrected), eV/atom: 0.390
Relative energy among the computed polymorphs, meV per atom: 0.0

***

(2)
The following is a DFT calculation (PBE-GGA) of an optimized crystal structure of YCoAg2Sb.

Unit cell a=4.884 b=4.702 c=4.884 alpha=90.00 beta=90.00 gamma=90.00
Sites, in units of the cell vectors:
1 Co 0.000 0.000 0.000
2 Ag 0.500 0.000 0.000
3 Sb 0.000 0.500 0.000
4 Ag 0.000 0.000 0.500
5 Y 0.500 0.500 0.500

## Properties
Space group: P4/mmm, No. 123
E_form (uncorrected), eV/atom: 0.077

***

(3)
The following is a DFT calculation (PBE-GGA) of an optimized crystal structure of Sc8Co2Ag.

Unit cell a=4.817 b=6.339 c=8.278 alpha=112.51 beta=106.92 gamma=89.98
Sites, in units of the cell vectors:
1 Ag 0.136 0.976 0.909
2 Sc 0.524 0.709 0.685
3 Sc 0.348 0.858 0.332
4 Sc 0.748 0.934 0.133
5 Sc 0.636 0.274 0.909
6 Sc 0.136 0.553 0.909
7 Sc 0.972 0.016 0.581
8 Sc 0.925 0.435 0.486
9 Co 0.465 0.279 0.567
10 Sc 0.300 0.344 0.237
11 Co 0.808 0.621 0.251

## Properties
Energy of formation, eV/atom: -0.194
Space group: Imm2, No. 44
Relative energy among the computed polymorphs, meV per atom: 0.0

***

| no. | final energy (eV/atom) |
| --- | --- |
| 1 | -3.879 |
| 2 | -4.602 |
| 3 | -6.350 |